Density functional theory data (GGA-PBEsol) for a relaxed structure of YMoIr.

Geometry as CIF:
```
data_YMoIr
_symmetry_space_group_name_H-M 'P 3 m 1'
_symmetry_Int_Tables_number 156
_cell_length_a 4.1664
_cell_length_b 4.1664
_cell_length_c 4.2499
_cell_angle_alpha 90.00
_cell_angle_beta 90.00
_cell_angle_gamma 120.00
loop_
_symmetry_equiv_pos_as_xyz
'x,y,z'
'-y,x-y,z'
'-x+y,-x,z'
'-y,-x,z'
'-x+y,y,z'
'x,x-y,z'
loop_
_atom_site_label
_atom_site_type_symbol
_atom_site_fract_x
_atom_site_fract_y
_atom_site_fract_z
_atom_site_occupancy
Y1 Y 0.0000 0.0000 0.0000 1
Mo1 Mo 0.6667 0.3333 0.4840 1
Ir1 Ir 0.3333 0.6667 0.5277 1
```

Properties
- Size of the total moment: 0.000 μB per atom
- ΔH_f (0 K): -0.072 eV per atom
- Excess energy over the best structure of this formula in the dataset: 0.0 meV/atom


Density functional theory data (GGA-PBEsol) for a relaxed structure of YMo2Ir.

Geometry as CIF:
```
data_YMo2Ir
_symmetry_space_group_name_H-M 'F m -3 m'
_symmetry_Int_Tables_number 225
_symmetry_space_group_name_Hall '-F 4 2 3'
_cell_length_a 6.410
_cell_length_b 6.410
_cell_length_c 6.410
_cell_angle_alpha 90.00
_cell_angle_beta 90.00
_cell_angle_gamma 90.00
loop_
_atom_site_label
_atom_site_type_symbol
_atom_site_fract_x
_atom_site_fract_y
_atom_site_fract_z
_atom_site_occupancy
Y1 Y 0.000 0.000 0.000 1
Mo1 Mo 0.250 0.250 0.250 1
Ir1 Ir 0.000 0.000 0.500 1
```

Properties
- Size of the total moment: 0.000 μB per atom
- ΔH_f (0 K): 0.280 eV per atom
- Excess energy over the best structure of this formula in the dataset: 170.8 meV/atom


Density functional theory data (GGA-PBEsol) for a relaxed structure of YMoIr.

Geometry as CIF:
```
data_YMoIr
_symmetry_space_group_name_H-M 'F -4 3 m'
_symmetry_Int_Tables_number 216
_symmetry_space_group_name_Hall 'F -4 2 3'
_cell_length_a 6.306
_cell_length_b 6.306
_cell_length_c 6.306
_cell_angle_alpha 90.00
_cell_angle_beta 90.00
_cell_angle_gamma 90.00
loop_
_atom_site_label
_atom_site_type_symbol
_atom_site_fract_x
_atom_site_fract_y
_atom_site_fract_z
_atom_site_occupancy
Y1 Y 0.000 0.000 0.000 1
Mo1 Mo 0.000 0.000 0.500 1
Ir1 Ir 0.250 0.250 0.250 1
```

Properties
- Size of the total moment: 0.000 μB per atom
- ΔH_f (0 K): 0.208 eV per atom
- Excess energy over the best structure of this formula in the dataset: 280.4 meV/atom


Density functional theory data (GGA-PBEsol) for a relaxed structure of Y2MoIr.

Geometry as CIF:
```
data_Y2MoIr
_symmetry_space_group_name_H-M 'A m m 2'
_symmetry_Int_Tables_number 38
_cell_length_a 4.115
_cell_length_b 4.303
_cell_length_c 10.366
_cell_angle_alpha 90.00
_cell_angle_beta 90.00
_cell_angle_gamma 90.00
loop_
_symmetry_equiv_pos_as_xyz
'x,y,z'
'-x,-y,z'
'-x,y,z'
'x,-y,z'
'x,y+1/2,z+1/2'
'-x,-y+1/2,z+1/2'
'-x,y+1/2,z+1/2'
'x,-y+1/2,z+1/2'
loop_
_atom_site_label
_atom_site_type_symbol
_atom_site_fract_x
_atom_site_fract_y
_atom_site_fract_z
_atom_site_occupancy
Y1 Y 0.000 0.000 0.000 1
Y2 Y 0.500 0.000 0.298 1
Mo1 Mo 0.500 0.000 0.593 1
Ir1 Ir 0.000 0.000 0.712 1
```

Properties
- Size of the total moment: 0.000 μB per atom
- ΔH_f (0 K): -0.135 eV per atom